VASP calculation (PBE-GGA) on crystalline Sc5PaCd4 at its relaxed geometry.

a b c (Å): 3.4447 3.4447 19.0155
angles (deg): 90.00 90.00 90.00
Closest atoms and distances in Å follow each position.
Fractional coordinates of all 10 atoms:
Cd  0.0000  0.0000  0.2072  8 Sc 3.07-3.09
Sc  0.5000  0.5000  0.5000  8 Cd 3.04
Cd  0.0000  0.0000  0.4045  8 Sc 3.04-3.06
Sc  0.5000  0.5000  0.8910  4 Cd 3.07, 4 Pa 3.20
Cd  0.0000  0.0000  0.5955  8 Sc 3.04-3.06
Sc  0.5000  0.5000  0.1090  4 Cd 3.07, 4 Pa 3.20
Cd  0.0000  0.0000  0.7928  8 Sc 3.07-3.09
Pa  0.0000  0.0000  0.0000  8 Sc 3.20, 4 Pa 3.44
Sc  0.5000  0.5000  0.3070  8 Cd 3.06-3.09
Sc  0.5000  0.5000  0.6930  8 Cd 3.06-3.09

Computed properties:
D(E_F), states/eV/f.u.: 12.56
E_tot, Ry per atom: -0.3438